# KNiW | Alexandria | PBE | relaxed
data_KNiW
_chemical_formula_sum 'K1 Ni1 W1'
_symmetry_space_group_name_H-M 'P 1'
_symmetry_Int_Tables_number 1
_symmetry_space_group_name_Hall 'P 1'
_cell_length_a 7.347
_cell_length_b 7.347
_cell_length_c 7.347
_cell_angle_alpha 158.34
_cell_angle_beta 154.65
_cell_angle_gamma 33.58
loop_
_atom_site_label
_atom_site_type_symbol
_atom_site_fract_x
_atom_site_fract_y
_atom_site_fract_z
_atom_site_occupancy
W1 W 0.711 0.711 0.000 1
K1 K 0.988 0.988 0.000 1
Ni1 Ni 0.301 0.301 0.000 1
# electronic total energy = -5.743 eV per atom
# E_form = 0.87 eV/atom

# PmSmZrSc | Alexandria | PBE | relaxed
data_PmSmZrSc
_chemical_formula_sum 'Pm1 Sm1 Zr1 Sc1'
_symmetry_space_group_name_H-M 'P 1'
_symmetry_Int_Tables_number 1
_symmetry_space_group_name_Hall 'P 1'
_cell_length_a 5.437
_cell_length_b 5.437
_cell_length_c 5.437
_cell_angle_alpha 60.00
_cell_angle_beta 60.00
_cell_angle_gamma 60.00
loop_
_atom_site_label
_atom_site_type_symbol
_atom_site_fract_x
_atom_site_fract_y
_atom_site_fract_z
_atom_site_occupancy
Pm1 Pm 0.750 0.750 0.750 1
Sc1 Sc 0.250 0.250 0.250 1
Sm1 Sm 0.500 0.500 0.500 1
Zr1 Zr 0.000 0.000 0.000 1
# electronic total energy = -5.854 eV per atom
# E_form = 0.23 eV/atom